1 | Computed, not measured: a crystal of Sr2SiTe relaxed with PBEsol at the SCAN level of DFT.

Cell and atoms, written as extended XYZ:
```
4
Lattice="5.956 -2.188 0.000 5.956 2.188 0.000 -0.778 0.000 4.755" Properties=species:S:1:pos:R:3 pbc="T T T"
Sr 0.000 0.000 0.000
Sr 8.365 0.000 2.481
Si 5.218 0.000 2.246
Te 3.303 0.000 0.260
```

Values from the calculation:
Calculated density = 4.4 g/cm³
Magnetic moment = 0.0 μB/cell



2 | Computed, not measured: a crystal of Sr2SiTe relaxed with PBEsol at the SCAN level of DFT.

Cell and atoms, written as extended XYZ:
```
4
Lattice="-2.107 2.428 5.801 2.107 -2.428 5.801 2.107 2.428 -5.801" Properties=species:S:1:pos:R:3 pbc="T T T"
Sr 0.000 0.000 0.000
Sr 0.000 2.428 2.769
Si 0.000 0.000 5.531
Te 2.107 0.000 2.993
```

Values from the calculation:
Calculated density = 4.6 g/cm³
Magnetic moment = 0.0 μB/cell



Most stable structure among those shown: 1.